# NiAsCl2

A relaxed structure of NiAsCl2 (GGA-PBE, Alexandria).

Lattice parameters (Å, degrees): 4.713 4.713 3.159 90.00 90.00 89.91
Positions (direct):
Ni 0.500 0.000 0.500
As 0.000 0.500 0.500
Cl 0.000 0.000 0.000
Cl 0.500 0.500 0.000

Energy above the lowest structure with this stoichiometry (eV per atom): 1.022
Space group: Cmmm (65)
ρ (kg/m3): 4839
ΔE_f (raw) (kJ/mol of atoms): 55
V (Å³/f.u.): 70.18

***

# AcErCo4

A relaxed structure of AcErCo4 (GGA-PBE, Alexandria).

Lattice parameters (Å, degrees): 5.192 5.192 5.192 60.00 60.00 60.00
Positions (direct):
Ac 0.250 0.250 0.250
Co 0.626 0.626 0.121
Co 0.626 0.121 0.626
Co 0.626 0.626 0.626
Co 0.121 0.626 0.626
Er 0.000 0.000 0.000

Space group: F-43m (216)
ρ (kg/m3): 10573
Total DFT energy (no corrections) (eV per cell): -37.069
V (Å³/f.u.): 98.95

***

# Fe2RuPt

A relaxed structure of Fe2RuPt (GGA-PBE, Alexandria).

Lattice parameters (Å, degrees): 3.052 3.052 5.954 90.00 90.00 90.00
Positions (direct):
Fe 0.000 0.000 0.990
Fe 0.000 0.000 0.510
Pt 0.500 0.500 0.250
Ru 0.500 0.500 0.750

Space group: P4/mmm (123)
ρ (kg/m3): 12208
Total DFT energy (no corrections) (eV per cell): -32.017
V (Å³/f.u.): 55.47

***

# Ce4Pb2Au

A relaxed structure of Ce4Pb2Au (GGA-PBE, Alexandria).

Lattice parameters (Å, degrees): 6.671 6.587 10.317 90.00 112.80 90.00
Positions (direct):
Ce 0.529 0.453 0.258
Ce 0.063 0.750 0.867
Ce 0.937 0.250 0.133
Ce 0.529 0.047 0.258
Ce 0.914 0.250 0.579
Ce 0.471 0.953 0.742
Ce 0.471 0.547 0.742
Ce 0.086 0.750 0.421
Pb 0.695 0.750 0.058
Pb 0.305 0.250 0.942
Pb 0.299 0.250 0.457
Pb 0.701 0.750 0.543
Au 0.170 0.750 0.167
Au 0.830 0.250 0.833

Space group: P2_1/m (11)
ρ (kg/m3): 9313
Total DFT energy (no corrections) (eV per cell): -73.355
V (Å³/f.u.): 208.95

***

# PHRhPb2

A relaxed structure of PHRhPb2 (GGA-PBE, Alexandria).

Lattice parameters (Å, degrees): 5.488 4.375 5.488 90.00 90.00 90.00
Positions (direct):
Pb 0.000 0.000 0.500
Pb 0.500 0.000 0.000
P 0.000 0.500 0.000
Rh 0.000 0.000 0.000
H 0.500 0.500 0.500

Space group: P4/mmm (123)
ρ (kg/m3): 6922
Total DFT energy (no corrections) (eV per cell): -21.103
V (Å³/f.u.): 131.77

***

# BaDyZn2Ga2

A relaxed structure of BaDyZn2Ga2 (GGA-PBE, Alexandria).

Lattice parameters (Å, degrees): 4.544 4.544 8.161 90.00 90.00 120.00
Positions (direct):
Ba 0.000 0.000 0.000
Dy 0.000 0.000 0.500
Zn 0.667 0.333 0.315
Zn 0.333 0.667 0.685
Ga 0.667 0.333 0.693
Ga 0.333 0.667 0.307

Space group: P-3m1 (164)
ρ (kg/m3): 6487
Total DFT energy (no corrections) (eV per cell): -18.000
V (Å³/f.u.): 145.94

***

# CaTa2Al

A relaxed structure of CaTa2Al (GGA-PBE, Alexandria).

Lattice parameters (Å, degrees): 3.295 4.780 5.103 90.00 90.00 90.00
Positions (direct):
Ca 0.000 0.500 0.500
Al 0.500 0.000 0.500
Ta 0.000 0.000 0.000
Ta 0.500 0.500 0.000

Space group: Pmmm (47)
ρ (kg/m3): 8865
Total DFT energy (no corrections) (eV per cell): -27.717
V (Å³/f.u.): 80.35

***

# Pm6NdAg2

A relaxed structure of Pm6NdAg2 (GGA-PBE, Alexandria).

Lattice parameters (Å, degrees): 3.766 6.672 11.913 75.59 80.91 73.61
Positions (direct):
Pm 0.685 0.505 0.124
Pm 0.315 0.495 0.876
Pm 0.313 0.785 0.588
Pm 0.977 0.711 0.334
Pm 0.023 0.289 0.666
Pm 0.687 0.215 0.412
Nd 0.000 0.000 0.000
Ag 0.351 0.093 0.205
Ag 0.649 0.907 0.795

Space group: C2/m (12)
ρ (kg/m3): 7376
Total DFT energy (no corrections) (eV per cell): -39.903
V (Å³/f.u.): 276.89

***

# CrIr2W

A relaxed structure of CrIr2W (GGA-PBE, Alexandria).

Lattice parameters (Å, degrees): 2.729 2.729 7.639 90.00 90.00 90.03
Positions (direct):
Cr 0.500 0.500 0.750
Ir 0.000 0.000 0.986
Ir 0.000 0.000 0.514
W 0.500 0.500 0.250

Energy above the lowest structure with this stoichiometry (eV per atom): 0.039
Space group: P4/mmm (123)
ρ (kg/m3): 18111
V (Å³/f.u.): 56.87

***

# SrIn2Hg9

A relaxed structure of SrIn2Hg9 (GGA-PBE, Alexandria).

Lattice parameters (Å, degrees): 5.097 5.097 12.475 90.00 90.00 90.00
Positions (direct):
Sr 0.000 0.000 0.000
In 0.000 0.000 0.346
In 0.000 0.000 0.654
Hg 0.500 0.500 0.000
Hg 0.500 0.500 0.341
Hg 0.500 0.500 0.659
Hg 0.500 0.000 0.182
Hg 0.500 0.000 0.500
Hg 0.500 0.000 0.818
Hg 0.000 0.500 0.182
Hg 0.000 0.500 0.500
Hg 0.000 0.500 0.818

Energy above the lowest structure with this stoichiometry (eV per atom): 0.000
Space group: P4/mmm (123)
ρ (kg/m3): 10874
V (Å³/f.u.): 324.13

***

# KPrSiS4

A relaxed structure of KPrSiS4 (GGA-PBE, Alexandria).

Lattice parameters (Å, degrees): 6.592 6.630 8.829 90.00 106.89 90.00
Positions (direct):
K 0.725 0.750 0.933
K 0.275 0.250 0.067
Pr 0.770 0.750 0.449
Pr 0.230 0.250 0.551
Si 0.218 0.750 0.319
Si 0.782 0.250 0.681
S 0.995 0.501 0.720
S 0.005 0.001 0.280
S 0.005 0.499 0.280
S 0.995 0.999 0.720
S 0.414 0.750 0.168
S 0.586 0.250 0.832
S 0.398 0.750 0.563
S 0.602 0.250 0.437

Space group: P2_1/m (11)
ρ (kg/m3): 3025
ΔE_f (raw) (kJ/mol of atoms): -138
V (Å³/f.u.): 184.62

***

# K3La2PrSe6

A relaxed structure of K3La2PrSe6 (GGA-PBE, Alexandria).

Lattice parameters (Å, degrees): 4.423 9.234 10.237 106.26 102.48 90.00
Positions (direct):
K 0.500 0.500 0.000
K 0.833 0.167 0.667
K 0.167 0.833 0.333
La 0.834 0.668 0.668
La 0.166 0.332 0.332
Pr 0.500 0.000 0.000
Se 0.343 0.897 0.685
Se 0.675 0.562 0.350
Se 0.657 0.103 0.315
Se 0.008 0.227 0.015
Se 0.992 0.773 0.985
Se 0.325 0.438 0.650

Space group: C2/m (12)
ρ (kg/m3): 4288
ΔE_f (raw) (kJ/mol of atoms): -174
V (Å³/f.u.): 391.06

***

# Ca3GaAs

A relaxed structure of Ca3GaAs (GGA-PBE, Alexandria).

Lattice parameters (Å, degrees): 5.568 5.568 5.568 90.00 90.00 90.00
Positions (direct):
As 0.000 0.000 0.000
Ca 0.000 0.500 0.000
Ca 0.000 0.000 0.500
Ca 0.500 0.000 0.000
Ga 0.500 0.500 0.500

Energy above the lowest structure with this stoichiometry (eV per atom): 0.000
Space group: Pm-3m (221)
ρ (kg/m3): 2549
V (Å³/f.u.): 172.58

***

# Tl2Hg3Cl

A relaxed structure of Tl2Hg3Cl (GGA-PBE, Alexandria).

Lattice parameters (Å, degrees): 3.951 12.805 8.148 115.77 98.50 91.49
Positions (direct):
Tl 0.486 0.851 0.934
Tl 0.514 0.149 0.066
Tl 0.246 0.822 0.381
Tl 0.754 0.178 0.619
Hg 0.063 0.362 0.088
Hg 0.937 0.638 0.912
Hg 0.717 0.387 0.450
Hg 0.283 0.613 0.550
Hg 0.655 0.582 0.211
Hg 0.345 0.418 0.789
Cl 0.103 0.036 0.280
Cl 0.897 0.964 0.720

Space group: P-1 (2)
ρ (kg/m3): 9510
ΔE_f (raw) (kJ/mol of atoms): -27
V (Å³/f.u.): 182.64

***

# Ni4Te8Cl

A relaxed structure of Ni4Te8Cl (GGA-PBE, Alexandria).

Lattice parameters (Å, degrees): 3.893 8.607 9.931 76.60 78.70 76.93
Positions (direct):
Ni 0.380 0.824 0.417
Ni 0.864 0.486 0.787
Ni 0.169 0.522 0.139
Ni 0.648 0.190 0.514
Te 0.119 0.366 0.397
Te 0.552 0.707 0.189
Te 0.479 0.294 0.747
Te 0.910 0.647 0.533
Te 0.829 0.025 0.316
Te 0.242 0.650 0.866
Te 0.196 0.990 0.619
Te 0.793 0.353 0.060
Cl 0.523 0.968 0.987

Space group: Cm (8)
ρ (kg/m3): 6879
ΔE_f (raw) (kJ/mol of atoms): -21
V (Å³/f.u.): 311.67

***

# Nd2ScCd12Ag3

A relaxed structure of Nd2ScCd12Ag3 (GGA-PBE, Alexandria).

Lattice parameters (Å, degrees): 7.591 7.591 7.591 85.58 85.58 85.58
Positions (direct):
Nd 0.740 0.740 0.740
Nd 0.260 0.260 0.260
Sc 0.000 0.000 0.000
Cd 0.432 0.432 0.845
Cd 0.801 0.801 0.285
Cd 0.285 0.801 0.801
Cd 0.845 0.432 0.432
Cd 0.801 0.285 0.801
Cd 0.432 0.845 0.432
Cd 0.568 0.568 0.155
Cd 0.199 0.199 0.715
Cd 0.715 0.199 0.199
Cd 0.155 0.568 0.568
Cd 0.199 0.715 0.199
Cd 0.568 0.155 0.568
Ag 0.500 0.000 0.000
Ag 0.000 0.500 0.000
Ag 0.000 0.000 0.500

Space group: R-3m (166)
ρ (kg/m3): 7682
Total DFT energy (no corrections) (eV per cell): -35.346
V (Å³/f.u.): 433.63

***

# NaPm5Tl3

A relaxed structure of NaPm5Tl3 (GGA-PBE, Alexandria).

Lattice parameters (Å, degrees): 6.813 9.602 9.601 120.00 90.00 90.00
Positions (direct):
Na 0.000 0.000 0.000
Na 0.500 0.000 0.000
Pm 0.000 0.667 0.333
Pm 0.500 0.333 0.667
Pm 0.000 0.333 0.667
Pm 0.500 0.667 0.333
Pm 0.750 0.679 0.679
Pm 0.750 0.000 0.321
Pm 0.750 0.321 0.000
Pm 0.250 0.321 0.321
Pm 0.250 0.000 0.679
Pm 0.250 0.679 0.000
Tl 0.750 0.343 0.343
Tl 0.750 0.000 0.657
Tl 0.750 0.657 0.000
Tl 0.250 0.657 0.657
Tl 0.250 0.000 0.343
Tl 0.250 0.343 0.000

Space group: P6_3/mcm (193)
ρ (kg/m3): 8311
Total DFT energy (no corrections) (eV per cell): -68.942
V (Å³/f.u.): 271.96

***

# LiScTe

A relaxed structure of LiScTe (GGA-PBE, Alexandria).

Lattice parameters (Å, degrees): 4.685 4.685 4.685 60.00 60.00 60.00
Positions (direct):
Li 0.000 0.000 0.000
Sc 0.500 0.500 0.500
Te 0.750 0.750 0.750

Energy above the lowest structure with this stoichiometry (eV per atom): 0.161
Space group: F-43m (216)
ρ (kg/m3): 4099
ΔE_f (raw) (kJ/mol of atoms): -52
V (Å³/f.u.): 72.72

***

# LiPt2W

A relaxed structure of LiPt2W (GGA-PBE, Alexandria).

Lattice parameters (Å, degrees): 6.915 6.915 5.600 51.88 51.88 90.00
Positions (direct):
W 0.000 0.000 0.000
W 0.750 0.250 0.500
Pt 0.626 0.125 0.250
Pt 0.124 0.625 0.250
Pt 0.375 0.374 0.750
Pt 0.875 0.876 0.750
Li 0.500 0.500 0.000
Li 0.250 0.750 0.500

Space group: I-42d (122)
ρ (kg/m3): 14776
Total DFT energy (no corrections) (eV per cell): -51.694
V (Å³/f.u.): 65.29

***

# BaCaPb2

A relaxed structure of BaCaPb2 (GGA-PBE, Alexandria).

Lattice parameters (Å, degrees): 10.778 10.778 10.778 21.60 21.60 21.60
Positions (direct):
Pb 0.005 0.005 0.005
Pb 0.495 0.495 0.495
Ca 0.750 0.750 0.750
Ba 0.250 0.250 0.250

Space group: R-3m (166)
ρ (kg/m3): 6609
Total DFT energy (no corrections) (eV per cell): -12.633
V (Å³/f.u.): 148.70